Computed, not measured: a geometry-optimized Rb3Mg2Tl4 structure at the PBE level of DFT.

abc: 7.395 7.395 10.869
angles: 105.13 105.13 40.28
Atoms (fractional coordinates):
Rb1 0.000 0.000 0.000
Rb2 0.376 0.376 0.622
Rb3 0.624 0.624 0.378
Mg1 0.331 0.331 0.218
Mg2 0.669 0.669 0.782
Tl1 0.095 0.095 0.632
Tl2 0.269 0.269 0.915
Tl3 0.731 0.731 0.085
Tl4 0.905 0.905 0.368

Properties
Total energy: -1.7642 eV per atom
Formation enthalpy at 0 K: -36 meV/atom